1.
Material: Ac5PrAs6
Method: DFT, GGA-PBE
State: relaxed

Structure (POSCAR):
```
Ac5PrAs6
1.0
7.726 0.188 1.174
1.898 6.551 3.819
0.130 0.070 7.814
Pr Ac As
1 5 6
Direct
0.000 0.000 0.000
0.500 0.167 0.666
0.000 0.334 0.333
0.500 0.500 0.000
0.000 0.666 0.667
0.500 0.833 0.334
0.754 0.082 0.327
0.246 0.591 0.327
0.246 0.244 0.000
0.754 0.756 0.000
0.754 0.409 0.673
0.246 0.918 0.673
```

final energy	-5.913	eV per atom
formation enthalpy at 0 K	-1478.3	meV per atom


2.
Material: AcPrAs2
Method: DFT, GGA-PBE
State: relaxed

Structure (POSCAR):
```
AcPrAs2
1.0
-3.443 2.673 0.264
-2.224 1.058 -3.606
-6.437 -4.718 -0.059
Ac Pr As
1 1 2
Direct
0.669 0.669 0.993
0.498 0.498 0.505
0.086 0.086 0.743
0.247 0.247 0.259
```

final energy	-5.875	eV per atom
formation enthalpy at 0 K	-1328.2	meV per atom
excess energy over the best structure of this formula in the dataset	0.1508	eV/atom


3.
Material: AcPrAs2
Method: DFT, GGA-PBE
State: relaxed

Structure (POSCAR):
```
AcPrAs2
1.0
-0.964 1.972 3.801
-2.865 -2.786 -1.816
6.156 -11.106 7.325
Ac Pr As
2 2 4
Direct
0.667 0.333 0.250
0.333 0.667 0.750
0.000 0.000 0.500
0.000 0.000 0.000
0.333 0.667 0.382
0.667 0.333 0.882
0.667 0.333 0.618
0.333 0.667 0.118
```

final energy	-5.989	eV per atom
formation enthalpy at 0 K	-1442.4	meV per atom
excess energy over the best structure of this formula in the dataset	0.0366	eV/atom


4.
Material: Ac5Pr3As8
Method: DFT, GGA-PBE
State: relaxed

Structure (POSCAR):
```
Ac5Pr3As8
1.0
7.744 0.000 4.436
2.602 7.294 4.436
0.028 0.020 8.928
Ac Pr As
5 3 8
Direct
0.500 0.000 0.000
0.500 0.500 0.000
0.000 0.000 0.000
0.000 0.500 0.000
0.500 0.500 0.500
0.500 0.000 0.500
0.000 0.000 0.500
0.000 0.500 0.500
0.250 0.250 0.742
0.250 0.758 0.742
0.758 0.250 0.742
0.754 0.754 0.739
0.750 0.750 0.258
0.750 0.242 0.258
0.242 0.750 0.258
0.246 0.246 0.261
```

final energy	-5.978	eV per atom
formation enthalpy at 0 K	-1473.6	meV per atom


5.
Material: AcPrAs
Method: DFT, GGA-PBE
State: relaxed

Structure (POSCAR):
```
AcPrAs
1.0
3.862 0.000 0.000
0.000 3.862 0.000
-1.931 -1.931 6.665
Pr Ac As
1 1 1
Direct
0.325 0.325 0.650
0.583 0.583 0.166
0.942 0.942 0.884
```

final energy	-5.214	eV per atom
formation enthalpy at 0 K	-701.4	meV per atom
excess energy over the best structure of this formula in the dataset	0.1305	eV/atom


6.
Material: Ac4PrAs5
Method: DFT, GGA-PBE
State: relaxed

Structure (POSCAR):
```
Ac4PrAs5
1.0
-1.822 -2.962 5.344
5.182 -5.169 2.705
2.165 3.635 6.556
Ac Pr As
4 1 5
Direct
0.402 0.398 0.800
0.800 0.800 0.602
0.202 0.200 0.398
0.600 0.602 0.200
0.001 0.000 0.000
0.903 0.391 0.804
0.295 0.804 0.609
0.707 0.196 0.391
0.099 0.609 0.196
0.501 0.000 0.000
```

final energy	-5.922	eV per atom
formation enthalpy at 0 K	-1475.8	meV per atom


7.
Material: AcPrAs2
Method: DFT, GGA-PBE
State: relaxed

Structure (POSCAR):
```
AcPrAs2
1.0
4.429 0.014 0.015
2.203 3.843 0.015
2.186 1.271 7.253
Ac Pr As
1 1 2
Direct
0.000 0.000 0.000
0.500 0.500 0.500
0.754 0.754 0.738
0.246 0.246 0.262
```

final energy	-6.026	eV per atom
formation enthalpy at 0 K	-1479.0	meV per atom
excess energy over the best structure of this formula in the dataset	0.0000	eV/atom


8.
Material: AcPrAs
Method: DFT, GGA-PBE
State: relaxed

Structure (POSCAR):
```
AcPrAs
1.0
-1.078 -0.175 -6.989
-0.163 -4.249 0.131
-3.557 2.281 0.492
Pr Ac As
1 1 1
Direct
0.248 0.333 0.667
0.739 0.667 0.333
0.013 0.000 0.000
```

final energy	-5.344	eV per atom
formation enthalpy at 0 K	-831.9	meV per atom
excess energy over the best structure of this formula in the dataset	0.0000	eV/atom


9.
Material: AcPrAs2Pt2
Method: DFT, GGA-PBE
State: relaxed

Structure (POSCAR):
```
AcPrAs2Pt2
1.0
4.405 0.000 0.000
-2.202 3.815 0.000
0.000 0.000 8.346
Ac Pr As Pt
1 1 2 2
Direct
0.000 0.000 0.000
0.000 0.000 0.500
0.333 0.667 0.268
0.667 0.333 0.732
0.333 0.667 0.747
0.667 0.333 0.253
```

final energy	-6.298	eV per atom
formation enthalpy at 0 K	-1253.0	meV per atom


10.
Material: Ac2PrAs3Pt12
Method: DFT, GGA-PBE
State: relaxed

Structure (POSCAR):
```
Ac2PrAs3Pt12
1.0
8.068 -0.239 -0.170
3.776 7.134 -0.170
3.776 2.198 6.789
Ac Pr As Pt
2 1 3 12
Direct
0.604 0.604 0.604
0.396 0.396 0.396
0.000 0.000 0.000
0.500 0.000 0.000
0.000 0.500 0.000
0.000 0.000 0.500
0.349 0.349 0.891
0.858 0.858 0.404
0.404 0.858 0.858
0.891 0.349 0.349
0.858 0.404 0.858
0.349 0.891 0.349
0.651 0.651 0.109
0.142 0.142 0.596
0.596 0.142 0.142
0.109 0.651 0.651
0.142 0.596 0.142
0.651 0.109 0.651
```

final energy	-5.833	eV per atom
formation enthalpy at 0 K	-309.3	meV per atom


11.
Material: Ac2PrAs3Rh4
Method: DFT, GGA-PBE
State: relaxed

Structure (POSCAR):
```
Ac2PrAs3Rh4
1.0
4.292 0.000 0.000
0.000 4.292 0.000
0.000 0.000 11.618
Ac Pr As Rh
2 1 3 4
Direct
0.500 0.000 0.227
0.000 0.500 0.773
0.500 0.500 0.500
0.000 0.000 0.500
0.500 0.000 0.879
0.000 0.500 0.121
0.500 0.500 0.000
0.000 0.000 0.000
0.500 0.000 0.666
0.000 0.500 0.334
```

final energy	-6.533	eV per atom
formation enthalpy at 0 K	-898.1	meV per atom


12.
Material: AcPrAsS
Method: DFT, GGA-PBE
State: relaxed

Structure (POSCAR):
```
AcPrAsS
1.0
4.333 0.000 0.000
2.167 3.753 0.000
2.167 1.251 7.036
Ac Pr As S
1 1 1 1
Direct
0.193 0.193 0.420
0.694 0.694 0.917
0.948 0.948 0.156
0.440 0.440 0.679
```

final energy	-6.189	eV per atom
formation energy without anion corrections	-1.77	eV per atom


Which formula does entry 2 have?
AcPrAs2